1.
A plane-wave DFT calculation with PBE-GGA was carried out for crystalline PrLu3Cu at its relaxed geometry.

- formation energy from the elements (eV per formula unit) = 0.23
- SG = No. 221

Lattice parameters (Å, degrees): 5.287 5.287 5.287 90.00 90.00 90.00
Positions (direct):
Pr  0.000  0.000  0.000
Lu  0.000  0.500  0.500
Lu  0.500  0.000  0.500
Lu  0.500  0.500  0.000
Cu  0.500  0.500  0.500

2.
A plane-wave DFT calculation with PBE-GGA was carried out for crystalline Pr2LuCu at its relaxed geometry.

- formation energy from the elements (eV per formula unit) = 1.12
- SG = No. 166
- offset from the most stable computed form (eV/atom) = 0.302

Lattice parameters (Å, degrees): 11.357 11.357 11.357 17.75 17.75 17.75
Positions (direct):
Pr  0.101  0.101  0.101
Pr  0.899  0.899  0.899
Lu  0.000  0.000  0.000
Cu  0.500  0.500  0.500

3.
A plane-wave DFT calculation with PBE-GGA was carried out for crystalline PrLuCu at its relaxed geometry.

- formation energy from the elements (eV per formula unit) = 0.11
- SG = No. 156
- offset from the most stable computed form (eV/atom) = 0.161

Lattice parameters (Å, degrees): 4.757 4.757 3.991 90.00 90.00 120.00
Positions (direct):
Pr  0.000  0.000  0.000
Lu  0.667  0.333  0.500
Cu  0.333  0.667  0.517

4.
A plane-wave DFT calculation with PBE-GGA was carried out for crystalline PrLuCu2 at its relaxed geometry.

- formation energy from the elements (eV per formula unit) = -0.74
- SG = No. 225
- offset from the most stable computed form (eV/atom) = 0.032

Lattice parameters (Å, degrees): 4.970 4.970 4.970 60.00 60.00 60.00
Positions (direct):
Pr  0.000  0.000  0.000
Lu  0.500  0.500  0.500
Cu  0.250  0.250  0.250
Cu  0.750  0.750  0.750

5.
A plane-wave DFT calculation with PBE-GGA was carried out for crystalline PrLuCuRu at its relaxed geometry.

- formation energy from the elements (eV per formula unit) = -0.96
- SG = No. 216

Lattice parameters (Å, degrees): 4.911 4.911 4.911 60.00 60.00 60.00
Positions (direct):
Pr  0.000  0.000  0.000
Lu  0.500  0.500  0.500
Cu  0.250  0.250  0.250
Ru  0.750  0.750  0.750

6.
A plane-wave DFT calculation with PBE-GGA was carried out for crystalline PrLuCuSi at its relaxed geometry.

- formation energy without anion corrections (eV per atom) = -0.366
- SG = No. 216

Lattice parameters (Å, degrees): 4.994 4.994 4.994 60.00 60.00 60.00
Positions (direct):
Pr  0.000  0.000  0.000
Lu  0.500  0.500  0.500
Cu  0.750  0.750  0.750
Si  0.250  0.250  0.250

7.
A plane-wave DFT calculation with PBE-GGA was carried out for crystalline PrLuCuSn at its relaxed geometry.

- formation energy from the elements (eV per formula unit) = -1.53
- SG = No. 216

Lattice parameters (Å, degrees): 5.207 5.207 5.207 60.00 60.00 60.00
Positions (direct):
Pr  0.000  0.000  0.000
Lu  0.500  0.500  0.500
Cu  0.750  0.750  0.750
Sn  0.250  0.250  0.250

8.
A plane-wave DFT calculation with PBE-GGA was carried out for crystalline PrLuCuTc at its relaxed geometry.

- formation energy from the elements (eV per formula unit) = -0.04
- SG = No. 216

Lattice parameters (Å, degrees): 4.920 4.920 4.920 60.00 60.00 60.00
Positions (direct):
Pr  0.000  0.000  0.000
Lu  0.500  0.500  0.500
Cu  0.750  0.750  0.750
Tc  0.250  0.250  0.250

9.
A plane-wave DFT calculation with PBE-GGA was carried out for crystalline LuCu2Pt at its relaxed geometry.

- formation energy from the elements (eV per formula unit) = -1.97
- SG = No. 123
- offset from the most stable computed form (eV/atom) = 0.018

Lattice parameters (Å, degrees): 3.950 3.950 4.149 90.00 90.00 90.00
Positions (direct):
Lu  0.000  0.000  0.000
Cu  0.000  0.500  0.500
Cu  0.500  0.000  0.500
Pt  0.500  0.500  0.000

10.
A plane-wave DFT calculation with PBE-GGA was carried out for crystalline LuCu2Pt at its relaxed geometry.

- formation energy from the elements (eV per formula unit) = -2.04
- SG = No. 225
- offset from the most stable computed form (eV/atom) = 0.000

Lattice parameters (Å, degrees): 4.482 4.482 4.482 60.00 60.00 60.00
Positions (direct):
Lu  0.000  0.000  0.000
Cu  0.250  0.250  0.250
Cu  0.750  0.750  0.750
Pt  0.500  0.500  0.500

11.
A plane-wave DFT calculation with PBE-GGA was carried out for crystalline Lu2CuPt at its relaxed geometry.

- formation energy from the elements (eV per formula unit) = -3.32
- SG = No. 123

Lattice parameters (Å, degrees): 4.819 4.819 3.410 90.00 90.00 90.00
Positions (direct):
Lu  0.000  0.500  0.000
Lu  0.500  0.000  0.000
Cu  0.000  0.000  0.500
Pt  0.500  0.500  0.500

12.
A plane-wave DFT calculation with PBE-GGA was carried out for crystalline LuScCuPt at its relaxed geometry.

- formation energy from the elements (eV per formula unit) = -3.27
- SG = No. 216

Lattice parameters (Å, degrees): 4.730 4.730 4.730 60.00 60.00 60.00
Positions (direct):
Lu  0.000  0.000  0.000
Sc  0.500  0.500  0.500
Cu  0.250  0.250  0.250
Pt  0.750  0.750  0.750